The following is a DFT calculation (PBE) of an optimized crystal structure of TiMn2Pd8.

Geometry as extended XYZ:
```
11
Lattice="6.996 -2.000 0.000 6.996 2.000 0.000 -1.755 0.000 5.966" Properties=species:S:1:pos:R:3 pbc="T T T"
Ti 0.000 0.000 0.000
Mn 3.250 0.000 2.089
Mn 8.987 0.000 3.877
Pd 0.555 0.000 2.700
Pd 0.895 0.000 5.463
Pd 3.611 0.000 4.838
Pd 5.922 0.000 1.608
Pd 6.315 0.000 4.359
Pd 8.626 0.000 1.128
Pd 11.342 0.000 0.503
Pd 11.682 0.000 3.266
```

Calculated values
- Formation energy from the elements: -0.3491 eV per atom
- Offset from the most stable computed form: 0 meV/atom
- Volume: 15.18 Å³/atom

The following is a DFT calculation (PBE) of an optimized crystal structure of ZrAl2Au.

Geometry as extended XYZ:
```
16
Lattice="6.656 0.000 0.000 0.000 6.656 0.000 0.000 0.000 6.656" Properties=species:S:1:pos:R:3 pbc="T T T"
Zr 0.000 0.000 0.000
Zr 0.000 3.328 3.328
Zr 3.328 0.000 3.328
Zr 3.328 3.328 0.000
Al 0.000 0.000 3.328
Al 0.000 3.328 0.000
Al 1.664 1.664 4.992
Al 1.664 4.992 1.664
Al 3.328 0.000 0.000
Al 3.328 3.328 3.328
Al 4.992 1.664 1.664
Al 4.992 4.992 4.992
Au 1.664 1.664 1.664
Au 1.664 4.992 4.992
Au 4.992 1.664 4.992
Au 4.992 4.992 1.664
```

Calculated values
- Formation energy from the elements: -0.2090 eV per atom
- Volume: 18.43 Å³/atom

The following is a DFT calculation (PBE) of an optimized crystal structure of La2Sm3Ho6Er.

Geometry as extended XYZ:
```
12
Lattice="3.111 -5.386 0.000 3.111 5.386 0.000 -2.067 0.000 11.644" Properties=species:S:1:pos:R:3 pbc="T T T"
La 3.111 3.595 0.000
La 3.111 -3.595 0.000
Sm -1.033 0.000 5.822
Sm 2.077 1.796 5.822
Sm 2.077 -1.796 5.822
Ho 0.006 1.789 8.714
Ho 1.050 0.000 2.934
Ho 0.006 -1.789 8.714
Ho 4.149 1.789 2.930
Ho 3.105 0.000 8.711
Ho 4.149 -1.789 2.930
Er 3.111 0.000 0.000
```

Calculated values
- Formation energy from the elements: 0.0174 eV per atom
- Volume: 32.52 Å³/atom